Record 1
Computed, not measured: an optimized crystal structure of KHfSc3 at the PBE level of DFT.

Output
The value obtained for the magnetic moment is 0.0 μB/f.u. The density of states at the Fermi level comes out at 2.335 states/eV/f.u. The energy of formation comes out at 765 meV/atom. The value obtained for the total energy is -5.245 eV per atom. As for the energy above the most stable polymorph in this dataset: 0.000 kcal/mol of atoms.

abc: 5.488 5.488 5.488
angles: 90.00 90.00 90.00
Space group Pm-3m (No. 221)
Symmetry-distinct sites (fractional):
K 0.000 0.000 0.000
Hf 0.500 0.500 0.500
Sc 0.000 0.500 0.500

=====

Record 2
Computed, not measured: an optimized crystal structure of LaPrPt at the PBE level of DFT.

Output
The value obtained for the magnetic moment is 0.0 μB/f.u. The density of states at the Fermi level comes out at 4.452 states/eV/f.u. The energy of formation comes out at -676 meV/atom. The value obtained for the total energy is -5.926 eV per atom. As for the energy above the most stable polymorph in this dataset: 0.837 kcal/mol of atoms.

abc: 3.684 3.684 13.235
angles: 90.00 90.00 90.00
Space group I4mm (No. 107)
Symmetry-distinct sites (fractional):
La 0.000 0.000 0.000
Pr 0.000 0.000 0.742
Pt 0.000 0.000 0.373

=====

Record 3
Computed, not measured: an optimized crystal structure of PmHo4Tm at the PBE level of DFT.

Output
The value obtained for the magnetic moment is 0.0 μB/f.u. The density of states at the Fermi level comes out at 9.710 states/eV/f.u. The energy of formation comes out at 54 meV/atom. The value obtained for the total energy is -4.535 eV per atom. As for the energy above the most stable polymorph in this dataset: 0.000 kcal/mol of atoms.

abc: 5.641 22.260 6.071
angles: 90.00 90.00 90.00
Space group Imma (No. 74)
Symmetry-distinct sites (fractional):
Pm 0.000 0.000 0.000
Ho 0.000 0.092 0.433
Ho 0.000 0.169 0.923
Tm 0.000 0.250 0.422

=====

Record 4
Computed, not measured: an optimized crystal structure of Al3Fe at the PBE level of DFT.

Output
The value obtained for the magnetic moment is 0.8 μB/f.u. The density of states at the Fermi level comes out at 1.826 states/eV/f.u. The energy of formation comes out at -174 meV/atom. The value obtained for the total energy is -5.097 eV per atom.

abc: 3.159 3.159 5.531
angles: 90.00 90.00 90.00
Space group P4/mmm (No. 123)
Symmetry-distinct sites (fractional):
Al 0.000 0.000 0.000
Al 0.500 0.500 0.273
Fe 0.000 0.000 0.500

=====

Record 5
Computed, not measured: an optimized crystal structure of DySc3Fe8 at the PBE level of DFT.

Output
The value obtained for the magnetic moment is 11.4 μB/f.u. The density of states at the Fermi level comes out at 10.557 states/eV/f.u. The energy of formation comes out at -216 meV/atom. The value obtained for the total energy is -7.824 eV per atom.

abc: 4.9700 4.9700 24.3424
angles: 90.00 90.00 120.00
Space group R3m (No. 160, hexagonal axes)
Symmetry-distinct sites (fractional):
Dy 0.0000 0.0000 0.0000
Sc 0.0000 0.0000 0.3772
Sc 0.0000 0.0000 0.5004
Sc 0.0000 0.0000 0.8737
Fe 0.0000 0.0000 0.1875
Fe 0.0000 0.0000 0.6881
Fe 0.0017 0.5008 0.4392
Fe 0.1671 0.3343 0.2694

=====

Record 6
Computed, not measured: an optimized crystal structure of LiGa3Se at the PBE level of DFT.

Output
The value obtained for the magnetic moment is 0.0 μB/f.u. The density of states at the Fermi level comes out at 3.174 states/eV/f.u. The formation energy from raw total energies is 166 kJ/mol of formula units. The value obtained for the total energy is -2.551 eV per atom. As for the energy above the most stable polymorph in this dataset: 4.807 kcal/mol of atoms.

abc: 5.337 5.337 5.337
angles: 90.00 90.00 90.00
Space group Pm-3m (No. 221)
Symmetry-distinct sites (fractional):
Li 0.000 0.000 0.000
Ga 0.000 0.500 0.500
Se 0.500 0.500 0.500

=====

Record 7
Computed, not measured: an optimized crystal structure of Na2CaTiSe4 at the PBE level of DFT.

Output
The value obtained for the magnetic moment is 0.0 μB/f.u. The density of states at the Fermi level comes out at 0.661 states/eV/f.u. The formation energy from raw total energies is -1010 kJ/mol of formula units. The value obtained for the total energy is -4.618 eV per atom.

abc: 7.027 3.942 7.290
angles: 90.00 107.64 90.00
Space group P2/m (No. 10)
Symmetry-distinct sites (fractional):
Na 0.000 0.000 0.000
Na 0.500 0.500 0.000
Ca 0.000 0.500 0.500
Ti 0.500 0.000 0.500
Se 0.274 0.000 0.722
Se 0.287 0.500 0.287

=====

Record 8
Computed, not measured: an optimized crystal structure of Sr3Cd9Ge2 at the PBE level of DFT.

Output
The value obtained for the magnetic moment is 0.0 μB/f.u. The density of states at the Fermi level comes out at 6.403 states/eV/f.u. The energy of formation comes out at -252 meV/atom. The value obtained for the total energy is -1.860 eV per atom.

abc: 4.916 10.847 13.736
angles: 90.00 90.00 90.00
Space group Immm (No. 71)
Symmetry-distinct sites (fractional):
Sr 0.000 0.000 0.000
Sr 0.000 0.000 0.312
Cd 0.000 0.279 0.131
Cd 0.000 0.366 0.340
Cd 0.000 0.500 0.000
Ge 0.000 0.198 0.500